Here is an optimized crystal structure of K3SrNp2Se6 from the Alexandria database. Energies are from PBE-GGA.

```
12
Lattice="3.754 -6.503 0.000 3.754 6.503 0.000 -2.516 0.000 7.661" Properties=species:S:1:pos:R:3 pbc="T T T"
K 0.000 0.000 0.000
K 3.754 2.103 0.000
K 3.754 -2.103 0.000
Sr 2.495 0.000 3.830
Np 2.495 4.329 3.830
Np 2.495 -4.329 3.830
Se 1.157 2.316 2.242
Se -0.177 0.000 5.415
Se 1.157 -2.316 2.242
Se 3.833 2.316 5.419
Se 5.168 0.000 2.246
Se 3.833 -2.316 5.419
```

## Properties
The calculation puts the raw formation energy at -1.41 eV per atom.

---

Here is an optimized crystal structure of Sc2CoHRu from the Alexandria database. Energies are from PBE-GGA.

```
5
Lattice="4.492 0.000 0.000 0.000 4.492 0.000 0.000 0.000 3.266" Properties=species:S:1:pos:R:3 pbc="T T T"
Sc 0.000 2.246 0.000
Sc 2.246 0.000 0.000
Co 0.000 0.000 1.633
H 0.000 0.000 0.000
Ru 2.246 2.246 1.633
```

## Properties
The calculation puts the total energy at -6.976 eV/atom.

---

Here is an optimized crystal structure of V2Ge from the Alexandria database. Energies are from PBE-GGA.

```
6
Lattice="4.775 -1.649 0.000 4.775 1.649 0.000 -1.802 0.000 5.287" Properties=species:S:1:pos:R:3 pbc="T T T"
V -0.360 0.000 1.358
V 1.543 0.000 4.853
V 6.205 0.000 0.434
V 8.107 0.000 3.929
Ge 2.515 0.000 2.093
Ge 5.232 0.000 3.194
```

## Properties
The formation energy from the elements is -0.23 eV per atom.

---

Here is an optimized crystal structure of NbPtBr2 from the Alexandria database. Energies are from PBE-GGA.

```
4
Lattice="0.000 3.344 3.344 3.344 0.000 3.344 3.344 3.344 0.000" Properties=species:S:1:pos:R:3 pbc="T T T"
Nb 0.000 0.000 0.000
Pt 3.344 3.344 3.344
Br 1.672 1.672 1.672
Br 5.015 5.015 5.015
```

## Properties
The calculation puts the raw formation energy at 0.51 eV per atom.